Material: BeTlGeAs2
Method: DFT, PBE
State: relaxed

## Properties
Symmetry: P4/mmm (123)
Formation enthalpy at 0 K: 2.121 eV/f.u.
DFT total energy: -3.5776 eV/atom
Theoretical density: 7.04 g/cm³
Volume: 20.565 A^3/atom

abc: 4.7172 4.6210 4.7172
angles: 90.00 90.00 90.00
With the nearest neighbours (Å) after each atom.
Element x y z (fractional)
Be1 0.0000 0.0000 0.0000  2 Ge 2.31, 4 As 2.36
Ge1 0.0000 0.5000 0.0000  2 Be 2.31
As1 0.5000 0.0000 0.0000  2 Be 2.36
As2 0.0000 0.0000 0.5000  2 Be 2.36
Tl1 0.5000 0.5000 0.5000  8 As 3.30, 4 Ge 3.34



Material: BeV2GeAs
Method: DFT, PBE
State: relaxed

## Properties
Symmetry: P4/mmm (123)
Formation enthalpy at 0 K: 6.013 eV/f.u.
DFT total energy: -5.0434 eV/atom
Theoretical density: 4.31 g/cm³
Volume: 19.921 A^3/atom

abc: 4.5160 4.8839 4.5160
angles: 90.00 90.00 90.00
With the nearest neighbours (Å) after each atom.
Element x y z (fractional)
Ge1 0.0000 0.5000 0.0000  2 As 2.44
Be1 0.5000 0.5000 0.5000  4 Ge 3.19, 8 V 3.33
V1 0.5000 0.0000 0.0000  2 As 2.26
V2 0.0000 0.0000 0.5000  2 As 2.26
As1 0.0000 0.0000 0.0000  4 V 2.26, 2 Ge 2.44



Material: BeZnGe2As4
Method: DFT, PBE
State: relaxed

## Properties
Symmetry: I-42m (121)
Formation enthalpy at 0 K: -1.282 eV/f.u.
DFT total energy: -4.2644 eV/atom
Theoretical density: 4.95 g/cm³
Volume: 21.784 A^3/atom

abc: 5.6106 5.6106 6.8110
angles: 114.32 114.32 90.00
With the nearest neighbours (Å) after each atom.
Element x y z (fractional)
As1 0.1501 0.1501 0.7709  1 Be 2.26, 1 Zn 2.45, 2 Ge 2.49
As2 0.3792 0.8501 0.2293  1 Be 2.26, 1 Zn 2.45, 2 Ge 2.49
As3 0.8501 0.3792 0.2293  1 Be 2.26, 1 Zn 2.45, 2 Ge 2.49
As4 0.6208 0.6208 0.7709  1 Be 2.26, 1 Zn 2.45, 2 Ge 2.49
Zn1 0.9999 0.9999 0.9999  4 As 2.45
Ge1 0.7500 0.2500 0.5001  4 As 2.49
Ge2 0.2500 0.7500 0.5001  4 As 2.49
Be1 0.5001 0.5001 0.0002  4 As 2.26



Material: BeAsH
Method: DFT, PBE
State: relaxed

## Properties
Symmetry: Pnma (62)
Energy relative to the lowest polymorph listed for this composition: 0.357 eV per atom
DFT total energy: -3.6387 eV/atom
Theoretical density: 3.49 g/cm³
Volume: 13.460 A^3/atom

abc: 5.8683 5.7937 4.7507
angles: 90.00 90.00 90.00
With the nearest neighbours (Å) after each atom.
Element x y z (fractional)
As1 0.7718 0.7500 0.6030  1 H 1.58
As2 0.2718 0.7500 0.8970  1 H 1.58
As3 0.2282 0.2500 0.3970  1 H 1.58
As4 0.7282 0.2500 0.1030  1 H 1.58
H1 0.9338 0.7500 0.3362  1 As 1.58
H2 0.4338 0.7500 0.1638  1 As 1.58
H3 0.0662 0.2500 0.6638  1 As 1.58
H4 0.5662 0.2500 0.8362  1 As 1.58
Be1 0.5000 0.5000 0.5000  2 H 2.19, 2 As 2.21
Be2 0.0000 0.5000 0.0000  2 H 2.19, 2 As 2.21
Be3 0.0000 0.0000 0.0000  2 H 2.19, 2 As 2.21
Be4 0.5000 0.0000 0.5000  2 H 2.19, 2 As 2.21



Material: BeAsH
Method: DFT, PBE
State: relaxed

## Properties
Symmetry: Pmc2_1 (26)
Energy relative to the lowest polymorph listed for this composition: 0.000 eV per atom
DFT total energy: -3.9959 eV/atom
Theoretical density: 3.59 g/cm³
Volume: 13.095 A^3/atom

abc: 5.2614 3.9440 3.7862
angles: 90.00 90.00 90.00
With the nearest neighbours (Å) after each atom.
Element x y z (fractional)
Be1 0.4304 0.2074 0.1992  2 H 1.44-1.45
Be2 0.7191 0.2074 0.6992  2 H 1.44-1.45
As1 0.9229 0.7073 0.6348  2 Be 2.26, 2 As 2.48
As2 0.2266 0.7073 0.1348  2 Be 2.26, 2 As 2.48
H1 0.4596 0.2068 0.5790  2 Be 1.44-1.45
H2 0.6899 0.2068 0.0789  2 Be 1.44-1.45



Material: BeAsH
Method: DFT, PBE
State: relaxed

## Properties
Symmetry: Cmce (64)
Energy relative to the lowest polymorph listed for this composition: 0.068 eV per atom
DFT total energy: -3.9281 eV/atom
Theoretical density: 3.45 g/cm³
Volume: 13.618 A^3/atom

abc: 3.8546 6.5539 6.5543
angles: 80.72 90.00 90.00
With the nearest neighbours (Å) after each atom.
Element x y z (fractional)
H1 0.7500 0.8392 0.6608  2 Be 1.43
H2 0.7500 0.3392 0.1608  2 Be 1.43
H3 0.2500 0.6608 0.8392  2 Be 1.43
H4 0.2500 0.1608 0.3392  2 Be 1.43
As1 0.1640 0.1563 0.8437  2 Be 2.30, 2 As 2.50
As2 0.3360 0.6563 0.3437  2 Be 2.30, 2 As 2.50
As3 0.8360 0.8437 0.1563  2 Be 2.30, 2 As 2.50
As4 0.6640 0.3437 0.6563  2 Be 2.30, 2 As 2.50
Be1 0.5000 0.6769 0.6769  2 H 1.43
Be2 0.5000 0.3231 0.3231  2 H 1.43
Be3 0.0000 0.8231 0.8231  2 H 1.43
Be4 0.0000 0.1769 0.1769  2 H 1.43



Material: BeAs2H
Method: DFT, PBE
State: relaxed

## Properties
Symmetry: I-42d (122)
Energy relative to the lowest polymorph listed for this composition: 0.000 eV per atom
DFT total energy: -3.5837 eV/atom
Theoretical density: 4.56 g/cm³
Volume: 14.547 A^3/atom

abc: 5.1799 5.1799 5.6770
angles: 62.86 62.86 90.00
With the nearest neighbours (Å) after each atom.
Element x y z (fractional)
H1 0.2500 0.7500 0.5000  4 As 2.02
H2 0.5000 0.5000 0.0000  4 As 2.02
As1 0.3750 0.4122 0.7500  2 H 2.02, 2 Be 2.25
As2 0.8750 0.8378 0.7500  2 H 2.02, 2 Be 2.25
As3 0.1622 0.6250 0.2500  2 H 2.02, 2 Be 2.25
As4 0.5878 0.1250 0.2500  2 H 2.02, 2 Be 2.25
Be1 0.7500 0.2500 0.5000  4 As 2.25
Be2 0.0000 0.0000 0.0000  4 As 2.25



Material: Be2AsH
Method: DFT, PBE
State: relaxed

## Properties
Symmetry: Fm-3m (225)
Energy relative to the lowest polymorph listed for this composition: 0.665 eV per atom
DFT total energy: -3.3043 eV/atom
Theoretical density: 3.78 g/cm³
Volume: 10.315 A^3/atom

abc: 3.8787 3.8787 3.8787
angles: 60.00 60.00 60.00
With the nearest neighbours (Å) after each atom.
Element x y z (fractional)
As1 0.5000 0.5000 0.5000  8 Be 2.38
Be1 0.2500 0.2500 0.2500  4 H 2.38, 4 As 2.38
Be2 0.7500 0.7500 0.7500  4 H 2.38, 4 As 2.38
H1 0.0000 0.0000 0.0000  8 Be 2.38